[1]
Material: NbCo2Tc
Method: DFT, PBE-GGA
State: optimized geometry

Results
Its formation enthalpy at 0 K is 410 meV per atom. The relative energy among the computed polymorphs is 493 meV per atom. For the density of states at the Fermi level, the calculation gives 25.9 states/eV per cell. Its volume is 228.1 Å³ per cell. The value obtained for the raw total energy is -0.6065 Ry per atom.

Lattice parameters (Å, degrees): 6.6244 6.6244 5.1980 90.00 90.00 90.00
With the nearest neighbours (Å) after each atom.
Atoms (fractional coordinates):
Nb: 0.0000 0.0000 0.0000  4 Co 2.49, 2 Tc 2.60
Nb: 0.0000 0.5000 0.2500  4 Co 2.49, 2 Tc 2.60
Nb: 0.5000 0.0000 0.7500  4 Co 2.49, 2 Tc 2.60
Nb: 0.5000 0.5000 0.5000  4 Co 2.49, 2 Tc 2.60
Co: 0.2380 0.2500 0.6250  2 Tc 2.38, 2 Nb 2.49, 2 Co 2.60
Co: 0.2500 0.7380 0.8750  2 Tc 2.38, 2 Nb 2.49, 2 Co 2.60
Co: 0.2500 0.7620 0.3750  2 Tc 2.38, 2 Nb 2.49, 2 Co 2.60
Co: 0.2620 0.2500 0.1250  2 Tc 2.38, 2 Nb 2.49, 2 Co 2.60
Co: 0.7380 0.7500 0.1250  2 Tc 2.38, 2 Nb 2.49, 2 Co 2.60
Co: 0.7500 0.2380 0.3750  2 Tc 2.38, 2 Nb 2.49, 2 Co 2.60
Co: 0.7500 0.2620 0.8750  2 Tc 2.38, 2 Nb 2.49, 2 Co 2.60
Co: 0.7620 0.7500 0.6250  2 Tc 2.38, 2 Nb 2.49, 2 Co 2.60
Tc: 0.0000 0.0000 0.5000  4 Co 2.38, 2 Nb 2.60
Tc: 0.0000 0.5000 0.7500  4 Co 2.38, 2 Nb 2.60
Tc: 0.5000 0.0000 0.2500  4 Co 2.38, 2 Nb 2.60
Tc: 0.5000 0.5000 0.0000  4 Co 2.38, 2 Nb 2.60

[2]
Material: NbCo2Tc
Method: DFT, PBE-GGA
State: optimized geometry

Results
Its formation enthalpy at 0 K is -82 meV per atom. The relative energy among the computed polymorphs is 0 meV per atom. For the density of states at the Fermi level, the calculation gives 3.1 states/eV per cell. Its volume is 53.0 Å³ per cell. The value obtained for the raw total energy is -0.6427 Ry per atom.

Lattice parameters (Å, degrees): 3.7816 3.7816 3.7046 90.00 90.00 90.00
With the nearest neighbours (Å) after each atom.
Atoms (fractional coordinates):
Nb: 0.0000 0.0000 0.0000  8 Co 2.65, 4 Tc 2.67
Co: 0.0000 0.5000 0.5000  4 Tc 2.65, 4 Nb 2.65, 4 Co 2.67
Co: 0.5000 0.0000 0.5000  4 Tc 2.65, 4 Nb 2.65, 4 Co 2.67
Tc: 0.5000 0.5000 0.0000  8 Co 2.65, 4 Nb 2.67

[3]
Material: NbCo2TcTe
Method: DFT, PBE-GGA
State: optimized geometry

Results
For the density of states at the Fermi level, the calculation gives 5.5 states/eV per cell. Its volume is 103.5 Å³ per cell. The value obtained for the raw total energy is -0.4431 Ry per atom.

Lattice parameters (Å, degrees): 4.4510 4.4510 5.2247 90.00 90.00 90.00
With the nearest neighbours (Å) after each atom.
Atoms (fractional coordinates):
Nb: 0.0000 0.0000 0.0000  4 Co 2.23
Co: 0.0000 0.5000 0.0000  2 Nb 2.23
Co: 0.5000 0.0000 0.0000  2 Nb 2.23
Tc: 0.5000 0.5000 0.5000  4 Te 3.15, 8 Co 3.43
Te: 0.0000 0.0000 0.5000  2 Nb 2.61

[4]
Material: NbVCoTc
Method: DFT, PBE-GGA
State: optimized geometry

Results
Its formation enthalpy at 0 K is -139 meV per atom. For the density of states at the Fermi level, the calculation gives 13.5 states/eV per cell. Its volume is 230.1 Å³ per cell. The value obtained for the raw total energy is -0.6839 Ry per atom.

Lattice parameters (Å, degrees): 6.1276 6.1276 6.1276 90.00 90.00 90.00
With the nearest neighbours (Å) after each atom.
Atoms (fractional coordinates):
Nb: 0.0000 0.0000 0.0000  4 Co 2.65, 4 Tc 2.65
Nb: 0.0000 0.5000 0.5000  4 Co 2.65, 4 Tc 2.65
Nb: 0.5000 0.0000 0.5000  4 Co 2.65, 4 Tc 2.65
Nb: 0.5000 0.5000 0.0000  4 Co 2.65, 4 Tc 2.65
V: 0.0000 0.0000 0.5000  4 Tc 2.65, 4 Co 2.65
V: 0.0000 0.5000 0.0000  4 Tc 2.65, 4 Co 2.65
V: 0.5000 0.0000 0.0000  4 Tc 2.65, 4 Co 2.65
V: 0.5000 0.5000 0.5000  4 Tc 2.65, 4 Co 2.65
Co: 0.2500 0.2500 0.7500  4 V 2.65, 4 Nb 2.65
Co: 0.2500 0.7500 0.2500  4 V 2.65, 4 Nb 2.65
Co: 0.7500 0.2500 0.2500  4 V 2.65, 4 Nb 2.65
Co: 0.7500 0.7500 0.7500  4 Nb 2.65, 4 V 2.65
Tc: 0.2500 0.2500 0.2500  4 Nb 2.65, 4 V 2.65
Tc: 0.2500 0.7500 0.7500  4 Nb 2.65, 4 V 2.65
Tc: 0.7500 0.2500 0.7500  4 Nb 2.65, 4 V 2.65
Tc: 0.7500 0.7500 0.2500  4 Nb 2.65, 4 V 2.65

[5]
Material: NbZnCoTc
Method: DFT, PBE-GGA
State: optimized geometry

Results
Its formation enthalpy at 0 K is -33 meV per atom. For the density of states at the Fermi level, the calculation gives 23.5 states/eV per cell. Its volume is 229.0 Å³ per cell. The value obtained for the raw total energy is -0.5319 Ry per atom.

Lattice parameters (Å, degrees): 6.1176 6.1176 6.1176 90.00 90.00 90.00
With the nearest neighbours (Å) after each atom.
Atoms (fractional coordinates):
Nb: 0.0000 0.0000 0.0000  4 Co 2.65, 4 Tc 2.65
Nb: 0.0000 0.5000 0.5000  4 Co 2.65, 4 Tc 2.65
Nb: 0.5000 0.0000 0.5000  4 Co 2.65, 4 Tc 2.65
Nb: 0.5000 0.5000 0.0000  4 Co 2.65, 4 Tc 2.65
Zn: 0.0000 0.0000 0.5000  4 Tc 2.65, 4 Co 2.65
Zn: 0.0000 0.5000 0.0000  4 Tc 2.65, 4 Co 2.65
Zn: 0.5000 0.0000 0.0000  4 Tc 2.65, 4 Co 2.65
Zn: 0.5000 0.5000 0.5000  4 Tc 2.65, 4 Co 2.65
Co: 0.2500 0.2500 0.2500  4 Nb 2.65, 4 Zn 2.65
Co: 0.2500 0.7500 0.7500  4 Nb 2.65, 4 Zn 2.65
Co: 0.7500 0.2500 0.7500  4 Nb 2.65, 4 Zn 2.65
Co: 0.7500 0.7500 0.2500  4 Nb 2.65, 4 Zn 2.65
Tc: 0.2500 0.2500 0.7500  4 Nb 2.65, 4 Zn 2.65
Tc: 0.2500 0.7500 0.2500  4 Nb 2.65, 4 Zn 2.65
Tc: 0.7500 0.2500 0.2500  4 Nb 2.65, 4 Zn 2.65
Tc: 0.7500 0.7500 0.7500  4 Nb 2.65, 4 Zn 2.65

[6]
Material: ZrNbCoTc
Method: DFT, PBE-GGA
State: optimized geometry

Results
Its formation enthalpy at 0 K is -250 meV per atom. For the density of states at the Fermi level, the calculation gives 7.0 states/eV per cell. Its volume is 260.7 Å³ per cell. The value obtained for the raw total energy is -0.6815 Ry per atom.

Lattice parameters (Å, degrees): 6.3884 6.3884 6.3884 90.00 90.00 90.00
With the nearest neighbours (Å) after each atom.
Atoms (fractional coordinates):
Zr: 0.0000 0.0000 0.0000  4 Tc 2.77, 4 Co 2.77
Zr: 0.0000 0.5000 0.5000  4 Tc 2.77, 4 Co 2.77
Zr: 0.5000 0.0000 0.5000  4 Tc 2.77, 4 Co 2.77
Zr: 0.5000 0.5000 0.0000  4 Tc 2.77, 4 Co 2.77
Nb: 0.0000 0.0000 0.5000  4 Co 2.77, 4 Tc 2.77
Nb: 0.0000 0.5000 0.0000  4 Co 2.77, 4 Tc 2.77
Nb: 0.5000 0.0000 0.0000  4 Co 2.77, 4 Tc 2.77
Nb: 0.5000 0.5000 0.5000  4 Co 2.77, 4 Tc 2.77
Co: 0.2500 0.2500 0.7500  4 Zr 2.77, 4 Nb 2.77
Co: 0.2500 0.7500 0.2500  4 Zr 2.77, 4 Nb 2.77
Co: 0.7500 0.2500 0.2500  4 Zr 2.77, 4 Nb 2.77
Co: 0.7500 0.7500 0.7500  4 Zr 2.77, 4 Nb 2.77
Tc: 0.2500 0.2500 0.2500  4 Nb 2.77, 4 Zr 2.77
Tc: 0.2500 0.7500 0.7500  4 Nb 2.77, 4 Zr 2.77
Tc: 0.7500 0.2500 0.7500  4 Nb 2.77, 4 Zr 2.77
Tc: 0.7500 0.7500 0.2500  4 Nb 2.77, 4 Zr 2.77

[7]
Material: NbCoTe6
Method: DFT, PBE-GGA
State: optimized geometry

Results
For the density of states at the Fermi level, the calculation gives 7.1 states/eV per cell. Its volume is 213.4 Å³ per cell. The value obtained for the raw total energy is -0.3359 Ry per atom.

Lattice parameters (Å, degrees): 6.6047 6.6344 6.6765 61.48 61.27 61.47
With the nearest neighbours (Å) after each atom.
Atoms (fractional coordinates):
Nb: 0.0000 0.0000 0.0000  6 Te 2.77-2.78
Co: 0.5000 0.5000 0.5000  6 Te 2.57-2.58
Te: 0.0807 0.7169 0.4398  1 Co 2.57, 1 Nb 2.78
Te: 0.2758 0.5583 0.9191  1 Co 2.58, 1 Nb 2.77
Te: 0.4443 0.0798 0.7158  1 Co 2.57, 1 Nb 2.77
Te: 0.5557 0.9202 0.2842  1 Co 2.57, 1 Nb 2.77
Te: 0.7242 0.4417 0.0809  1 Co 2.58, 1 Nb 2.77
Te: 0.9193 0.2831 0.5602  1 Co 2.57, 1 Nb 2.78

[8]
Material: NbCoTe
Method: DFT, PBE-GGA
State: optimized geometry

Results
For the density of states at the Fermi level, the calculation gives 3.3 states/eV per cell. Its volume is 127.3 Å³ per cell. The value obtained for the raw total energy is -0.5051 Ry per atom.

Lattice parameters (Å, degrees): 10.8225 10.8225 10.8225 19.81 19.81 19.81
With the nearest neighbours (Å) after each atom.
Atoms (fractional coordinates):
Nb: 0.0527 0.0527 0.0527  6 Co 2.70-2.75, 3 Te 2.86
Nb: 0.9473 0.9473 0.9473  6 Co 2.70-2.75, 3 Te 2.86
Co: 0.3321 0.3321 0.3321  3 Co 2.15
Co: 0.6679 0.6679 0.6679  3 Co 2.15
Te: 0.2212 0.2212 0.2212  3 Nb 2.86
Te: 0.7788 0.7788 0.7788  3 Nb 2.86

[9]
Material: Nb2CoTe
Method: DFT, PBE-GGA
State: optimized geometry

Results
For the density of states at the Fermi level, the calculation gives 8.8 states/eV per cell. Its volume is 393.1 Å³ per cell. The value obtained for the raw total energy is -0.5100 Ry per atom.

Lattice parameters (Å, degrees): 5.9144 5.9144 11.2380 90.00 90.00 90.00
With the nearest neighbours (Å) after each atom.
Atoms (fractional coordinates):
Nb: 0.1810 0.2500 0.1250  2 Co 2.30
Nb: 0.2500 0.6810 0.3750  2 Co 2.30
Nb: 0.2500 0.8190 0.8750  2 Co 2.30
Nb: 0.3190 0.2500 0.6250  2 Co 2.30
Nb: 0.6810 0.7500 0.6250  2 Co 2.30
Nb: 0.7500 0.1810 0.8750  2 Co 2.30
Nb: 0.7500 0.3190 0.3750  2 Co 2.30
Nb: 0.8190 0.7500 0.1250  2 Co 2.30
Co: 0.0000 0.0000 0.0000  4 Nb 2.30
Co: 0.0000 0.5000 0.2500  4 Nb 2.30
Co: 0.5000 0.0000 0.7500  4 Nb 2.30
Co: 0.5000 0.5000 0.5000  4 Nb 2.30
Te: 0.0000 0.0000 0.5000  4 Nb 2.78
Te: 0.0000 0.5000 0.7500  4 Nb 2.78
Te: 0.5000 0.0000 0.2500  4 Nb 2.78
Te: 0.5000 0.5000 0.0000  4 Nb 2.78

[10]
Material: NbCo2Te
Method: DFT, PBE-GGA
State: optimized geometry

Results
For the density of states at the Fermi level, the calculation gives 10.5 states/eV per cell. Its volume is 335.3 Å³ per cell. The value obtained for the raw total energy is -0.4576 Ry per atom.

Lattice parameters (Å, degrees): 5.3725 5.3725 11.6183 90.00 90.00 90.00
With the nearest neighbours (Å) after each atom.
Atoms (fractional coordinates):
Nb: 0.0000 0.0000 0.0000  4 Co 2.36
Nb: 0.0000 0.5000 0.2500  4 Co 2.36
Nb: 0.5000 0.0000 0.7500  4 Co 2.36
Nb: 0.5000 0.5000 0.5000  4 Co 2.36
Co: 0.2408 0.2500 0.1250  2 Nb 2.36, 2 Te 2.42
Co: 0.2500 0.7408 0.3750  2 Nb 2.36, 2 Te 2.42
Co: 0.2500 0.7592 0.8750  2 Nb 2.36, 2 Te 2.42
Co: 0.2592 0.2500 0.6250  2 Nb 2.36, 2 Te 2.42
Co: 0.7408 0.7500 0.6250  2 Nb 2.36, 2 Te 2.42
Co: 0.7500 0.2408 0.8750  2 Nb 2.36, 2 Te 2.42
Co: 0.7500 0.2592 0.3750  2 Nb 2.36, 2 Te 2.42
Co: 0.7592 0.7500 0.1250  2 Nb 2.36, 2 Te 2.42
Te: 0.0000 0.0000 0.5000  4 Co 2.42
Te: 0.0000 0.5000 0.7500  4 Co 2.42
Te: 0.5000 0.0000 0.2500  4 Co 2.42
Te: 0.5000 0.5000 0.0000  4 Co 2.42

[11]
Material: NbCo3Te
Method: DFT, PBE-GGA
State: optimized geometry

Results
The relative energy among the computed polymorphs is 17 meV per atom. For the density of states at the Fermi level, the calculation gives 9.1 states/eV per cell. Its volume is 92.2 Å³ per cell. The value obtained for the raw total energy is -0.4136 Ry per atom.

Lattice parameters (Å, degrees): 4.5181 4.5181 4.5181 90.00 90.00 90.00
With the nearest neighbours (Å) after each atom.
Atoms (fractional coordinates):
Nb: 0.0000 0.0000 0.0000  12 Co 3.19
Co: 0.0000 0.5000 0.5000  2 Te 2.26
Co: 0.5000 0.0000 0.5000  2 Te 2.26
Co: 0.5000 0.5000 0.0000  2 Te 2.26
Te: 0.5000 0.5000 0.5000  6 Co 2.26

[12]
Material: NbCoTe3
Method: DFT, PBE-GGA
State: optimized geometry

Results
The relative energy among the computed polymorphs is 62 meV per atom. For the density of states at the Fermi level, the calculation gives 5.8 states/eV per cell. Its volume is 253.8 Å³ per cell. The value obtained for the raw total energy is -0.4018 Ry per atom.

Lattice parameters (Å, degrees): 6.5365 3.6327 10.8570 90.00 100.12 90.00
With the nearest neighbours (Å) after each atom.
Atoms (fractional coordinates):
Nb: 0.1569 0.2500 0.4571  6 Te 2.81-2.94, 2 Nb 3.01
Nb: 0.8431 0.7500 0.5429  6 Te 2.81-2.94, 2 Nb 3.01
Co: 0.4494 0.2500 0.8492  5 Te 2.47-2.64
Co: 0.5506 0.7500 0.1508  5 Te 2.47-2.64
Te: 0.0760 0.2500 0.7088  1 Co 2.64, 3 Nb 2.81-2.87
Te: 0.3200 0.2500 0.0549  3 Co 2.47-2.52
Te: 0.4455 0.7500 0.3671  1 Co 2.56
Te: 0.5545 0.2500 0.6329  1 Co 2.56
Te: 0.6800 0.7500 0.9451  3 Co 2.47-2.52
Te: 0.9240 0.7500 0.2912  1 Co 2.64, 3 Nb 2.81-2.87